Entry 1:
DFT (PBE) results for a relaxed Zn2AgSb crystal.

Properties
- Crystal system: tetragonal
- Energy relative to the elements, uncorrected: 0.145 eV/atom
- N(E_F): 0.372 states/eV/atom
- Theoretical density: 7.76 Mg/m³

a b c (Å): 4.273 4.273 8.449
angles (deg): 90.00 90.00 90.00
Space group I4/mmm (No. 139)
Unique sites:
Zn  0.000  0.500  0.250 [4 per cell]
Ag  0.000  0.000  0.000 [2 per cell]
Sb  0.000  0.000  0.500 [2 per cell]

***

Entry 2:
DFT (PBE) results for a relaxed Tl2Sb crystal.

Properties
- Crystal system: tetragonal
- Energy relative to the elements, uncorrected: 0.020 eV/atom
- Excess energy over the best structure of this formula in the dataset: 39.5 meV/atom
- N(E_F): 0.269 states/eV/atom
- Theoretical density: 9.04 Mg/m³

a b c (Å): 3.419 3.419 33.337
angles (deg): 90.00 90.00 90.00
Space group I4_1/amd (No. 141, origin choice 2)
Unique sites:
Tl  0.000  0.250  0.300 [8 per cell]
Sb  0.000  0.250  0.875 [4 per cell]

***

Entry 3:
DFT (PBE) results for a relaxed Pr2Ho4H crystal.

Properties
- Crystal system: tetragonal
- N(E_F): 1.191 states/eV/atom
- Theoretical density: 7.59 Mg/m³
- Electronic total energy: -61.61 eV for the cell shown

a b c (Å): 4.877 4.877 17.342
angles (deg): 90.00 90.00 90.00
Space group I4/mmm (No. 139)
Unique sites:
Pr  0.000  0.000  0.149 [4 per cell]
Ho  0.000  0.000  0.352 [4 per cell]
Ho  0.000  0.500  0.000 [4 per cell]
H  0.000  0.000  0.500 [2 per cell]

***

Entry 4:
DFT (PBE) results for a relaxed Na2PbAu2 crystal.

Properties
- Crystal system: monoclinic
- Excess energy over the best structure of this formula in the dataset: 0.0 meV/atom
- N(E_F): 0.290 states/eV/atom
- Formation energy: -273 meV/atom
- Theoretical density: 8.50 Mg/m³

a b c (Å): 10.715 5.813 8.303
angles (deg): 90.00 102.17 90.00
Space group C2/c (No. 15)
Unique sites:
Na  0.156  0.148  0.151 [8 per cell]
Pb  0.000  0.322  0.750 [4 per cell]
Au  0.136  0.362  0.481 [8 per cell]

***

Entry 5:
DFT (PBE) results for a relaxed RbWSeN2 crystal.

Properties
- Crystal system: tetragonal
- Energy relative to the elements, uncorrected: 3.328 eV/atom
- Excess energy over the best structure of this formula in the dataset: 3141.8 meV/atom
- N(E_F): 1.297 states/eV/atom
- Theoretical density: 6.56 Mg/m³

a b c (Å): 4.048 4.048 5.812
angles (deg): 90.00 90.00 90.00
Space group P4/mmm (No. 123)
Unique sites:
Rb  0.000  0.000  0.000 [1 per cell]
W  0.500  0.500  0.500 [1 per cell]
Se  0.000  0.000  0.500 [1 per cell]
N  0.000  0.500  0.000 [2 per cell]

***

Entry 6:
DFT (PBE) results for a relaxed Pr3Nd2Pb4 crystal.

Properties
- Crystal system: monoclinic
- Excess energy over the best structure of this formula in the dataset: 0.0 meV/atom
- N(E_F): 0.837 states/eV/atom
- Formation energy: -587 meV/atom
- Theoretical density: 8.63 Mg/m³

a b c (Å): 8.730 8.699 8.399
angles (deg): 90.00 111.72 90.00
Space group P2_1/c (No. 14)
Unique sites:
Pr  0.000  0.000  0.000 [2 per cell]
Pr  0.304  0.181  0.440 [4 per cell]
Nd  0.258  0.663  0.267 [4 per cell]
Pb  0.012  0.138  0.636 [4 per cell]
Pb  0.416  0.537  0.674 [4 per cell]

***

Entry 7:
DFT (PBE) results for a relaxed PrThSb crystal.

Properties
- Crystal system: monoclinic
- Energy relative to the elements, uncorrected: -0.725 eV/atom
- N(E_F): 1.210 states/eV/atom
- Theoretical density: 8.64 Mg/m³

a b c (Å): 6.476 6.475 9.065
angles (deg): 90.00 90.03 90.00
Space group C2/m (No. 12)
Unique sites:
Pr  0.250  0.000  0.139 [4 per cell]
Th  0.000  0.250  0.500 [4 per cell]
Sb  0.250  0.000  0.777 [4 per cell]

***

Entry 8:
DFT (PBE) results for a relaxed La3PrGa4 crystal.

Properties
- Crystal system: tetragonal
- Excess energy over the best structure of this formula in the dataset: 0.0 meV/atom
- N(E_F): 0.623 states/eV/atom
- Formation energy: -565 meV/atom
- Theoretical density: 6.53 Mg/m³

a b c (Å): 3.760 3.760 15.047
angles (deg): 90.00 90.00 90.00
Space group P4/mmm (No. 123)
Unique sites:
La  0.000  0.000  0.000 [1 per cell]
La  0.000  0.000  0.251 [2 per cell]
Pr  0.000  0.000  0.500 [1 per cell]
Ga  0.500  0.500  0.125 [2 per cell]
Ga  0.500  0.500  0.379 [2 per cell]

***

Entry 9:
DFT (PBE) results for a relaxed YCr2Br crystal.

Properties
- Crystal system: orthorhombic
- Energy relative to the elements, uncorrected: 0.475 eV/atom
- Excess energy over the best structure of this formula in the dataset: 456.8 meV/atom
- N(E_F): 0.943 states/eV/atom
- Theoretical density: 4.94 Mg/m³

a b c (Å): 4.798 4.816 7.941
angles (deg): 90.00 90.00 90.00
Space group Cmmm (No. 65)
Unique sites:
Y  0.000  0.000  0.000 [2 per cell]
Cr  0.000  0.500  0.269 [4 per cell]
Br  0.000  0.000  0.500 [2 per cell]

***

Entry 10:
DFT (PBE) results for a relaxed LuSb2Pb crystal.

Properties
- Crystal system: tetragonal
- Energy relative to the elements, uncorrected: -0.369 eV/atom
- Excess energy over the best structure of this formula in the dataset: 15.6 meV/atom
- N(E_F): 0.777 states/eV/atom
- Theoretical density: 9.36 Mg/m³

a b c (Å): 4.076 4.076 6.684
angles (deg): 90.00 90.00 90.00
Space group P4/mmm (No. 123)
Unique sites:
Lu  0.000  0.000  0.000 [1 per cell]
Sb  0.500  0.500  0.226 [2 per cell]
Pb  0.000  0.000  0.500 [1 per cell]

***

Entry 11:
DFT (PBE) results for a relaxed Tc2SBr crystal.

Properties
- Crystal system: cubic
- Energy relative to the elements, uncorrected: 0.633 eV/atom
- Excess energy over the best structure of this formula in the dataset: 195.3 meV/atom
- N(E_F): 0.864 states/eV/atom
- Theoretical density: 8.70 Mg/m³

a b c (Å): 6.172 6.172 6.172
angles (deg): 90.00 90.00 90.00
Space group Fm-3m (No. 225)
Unique sites:
Tc  0.250  0.250  0.250 [8 per cell]
S  0.000  0.000  0.000 [4 per cell]
Br  0.000  0.000  0.500 [4 per cell]

***

Entry 12:
DFT (PBE) results for a relaxed Tb2Pd3Pt3 crystal.

Properties
- Crystal system: orthorhombic
- N(E_F): 1.243 states/eV/atom
- Formation energy: -945 meV/atom
- Theoretical density: 14.41 Mg/m³

a b c (Å): 4.126 4.157 8.211
angles (deg): 90.00 90.00 90.00
Space group Pmmm (No. 47)
Unique sites:
Tb  0.000  0.000  0.250 [2 per cell]
Pd  0.000  0.500  0.000 [1 per cell]
Pd  0.500  0.000  0.000 [1 per cell]
Pd  0.500  0.000  0.500 [1 per cell]
Pt  0.000  0.500  0.500 [1 per cell]
Pt  0.500  0.500  0.250 [2 per cell]

***

Entry 13:
DFT (PBE) results for a relaxed KRbTl2Au crystal.

Properties
- Crystal system: tetragonal
- Excess energy over the best structure of this formula in the dataset: 59.8 meV/atom
- N(E_F): 0.564 states/eV/atom
- Formation energy: -50 meV/atom
- Theoretical density: 5.94 Mg/m³

a b c (Å): 5.719 5.719 6.246
angles (deg): 90.00 90.00 90.00
Space group P4/mmm (No. 123)
Unique sites:
K  0.000  0.000  0.000 [1 per cell]
Rb  0.500  0.500  0.000 [1 per cell]
Tl  0.000  0.500  0.500 [2 per cell]
Au  0.000  0.000  0.500 [1 per cell]

***

Entry 14:
DFT (PBE) results for a relaxed SrCd4Ir crystal.

Properties
- Crystal system: orthorhombic
- Excess energy over the best structure of this formula in the dataset: 0.0 meV/atom
- N(E_F): 0.352 states/eV/atom
- Formation energy: -180 meV/atom
- Theoretical density: 8.26 Mg/m³

a b c (Å): 8.656 4.425 7.652
angles (deg): 90.00 90.00 90.00
Space group Pmma (No. 51)
Unique sites:
Sr  0.250  0.000  0.102 [2 per cell]
Cd  0.000  0.000  0.500 [2 per cell]
Cd  0.065  0.500  0.812 [4 per cell]
Cd  0.250  0.500  0.460 [2 per cell]
Ir  0.250  0.000  0.707 [2 per cell]

***

Entry 15:
DFT (PBE) results for a relaxed La2ZrCo crystal.

Properties
- Crystal system: monoclinic
- Excess energy over the best structure of this formula in the dataset: 204.6 meV/atom
- N(E_F): 1.125 states/eV/atom
- Formation energy: 211 meV/atom
- Theoretical density: 6.82 Mg/m³

a b c (Å): 4.774 3.779 6.049
angles (deg): 90.00 107.23 90.00
Space group P2/m (No. 10)
Unique sites:
La  0.132  0.000  0.292 [2 per cell]
Zr  0.500  0.500  0.000 [1 per cell]
Co  0.500  0.500  0.500 [1 per cell]

***

Entry 16:
DFT (PBE) results for a relaxed La2CuSb4Pt3 crystal.

Properties
- Crystal system: tetragonal
- Energy relative to the elements, uncorrected: -0.821 eV/atom
- N(E_F): 0.271 states/eV/atom
- Theoretical density: 10.14 Mg/m³

a b c (Å): 4.685 4.685 10.550
angles (deg): 90.00 90.00 90.00
Space group P-4m2 (No. 115)
Unique sites:
La  0.000  0.500  0.238 [2 per cell]
Cu  0.500  0.500  0.000 [1 per cell]
Sb  0.000  0.000  0.500 [1 per cell]
Sb  0.000  0.500  0.875 [2 per cell]
Sb  0.500  0.500  0.500 [1 per cell]
Pt  0.000  0.000  0.000 [1 per cell]
Pt  0.000  0.500  0.626 [2 per cell]

***

Entry 17:
DFT (PBE) results for a relaxed TmPaSi2O8 crystal.

Properties
- Crystal system: tetragonal
- Energy relative to the elements, uncorrected: -3.264 eV/atom
- N(E_F): 0.000 states/eV/atom
- Theoretical density: 6.53 Mg/m³

a b c (Å): 6.928 6.928 6.186
angles (deg): 90.00 90.00 90.00
Space group I-4m2 (No. 119)
Unique sites:
Tm  0.000  0.000  0.000 [2 per cell]
Pa  0.000  0.500  0.250 [2 per cell]
Si  0.000  0.000  0.500 [2 per cell]
Si  0.000  0.500  0.750 [2 per cell]
O  0.000  0.182  0.329 [8 per cell]
O  0.000  0.321  0.924 [8 per cell]

***

Entry 18:
DFT (PBE) results for a relaxed SrTl2Au crystal.

Properties
- Crystal system: monoclinic
- N(E_F): 0.480 states/eV/atom
- Formation energy: -310 meV/atom
- Theoretical density: 9.61 Mg/m³

a b c (Å): 4.262 5.007 5.734
angles (deg): 90.00 101.65 90.00
Space group P2/m (No. 10)
Unique sites:
Sr  0.000  0.000  0.000 [1 per cell]
Tl  0.318  0.500  0.716 [2 per cell]
Au  0.500  0.000  0.500 [1 per cell]

***

Entry 19:
DFT (PBE) results for a relaxed AgP2Ir crystal.

Properties
- Crystal system: orthorhombic
- Excess energy over the best structure of this formula in the dataset: 620.3 meV/atom
- N(E_F): 0.730 states/eV/atom
- Formation energy: 573 meV/atom
- Theoretical density: 9.71 Mg/m³

a b c (Å): 2.923 4.204 5.038
angles (deg): 90.00 90.00 90.00
Space group Pmmm (No. 47)
Unique sites:
Ag  0.000  0.000  0.000 [1 per cell]
P  0.000  0.500  0.500 [1 per cell]
P  0.500  0.500  0.000 [1 per cell]
Ir  0.500  0.000  0.500 [1 per cell]

***

Entry 20:
DFT (PBE) results for a relaxed NiAgW2 crystal.

Properties
- Crystal system: cubic
- Excess energy over the best structure of this formula in the dataset: 362.2 meV/atom
- N(E_F): 1.123 states/eV/atom
- Formation energy: 617 meV/atom
- Theoretical density: 14.36 Mg/m³

a b c (Å): 6.275 6.275 6.275
angles (deg): 90.00 90.00 90.00
Space group F-43m (No. 216)
Unique sites:
Ni  0.000  0.000  0.000 [4 per cell]
Ag  0.250  0.250  0.250 [4 per cell]
W  0.000  0.000  0.500 [4 per cell]
W  0.250  0.250  0.750 [4 per cell]

***

Entry 21:
DFT (PBE) results for a relaxed Ta3Cd crystal.

Properties
- Crystal system: cubic
- Excess energy over the best structure of this formula in the dataset: 177.8 meV/atom
- N(E_F): 1.751 states/eV/atom
- Formation energy: 294 meV/atom
- Theoretical density: 14.58 Mg/m³

a b c (Å): 5.305 5.305 5.305
angles (deg): 90.00 90.00 90.00
Space group Pm-3n (No. 223)
Unique sites:
Ta  0.000  0.250  0.500 [6 per cell]
Cd  0.000  0.000  0.000 [2 per cell]

***

Entry 22:
DFT (PBE) results for a relaxed Sm3Zn2Au7 crystal.

Properties
- Crystal system: tetragonal
- N(E_F): 0.409 states/eV/atom
- Formation energy: -545 meV/atom
- Theoretical density: 12.60 Mg/m³

a b c (Å): 4.238 4.238 28.779
angles (deg): 90.00 90.00 90.00
Space group I4/mmm (No. 139)
Unique sites:
Sm  0.000  0.000  0.000 [2 per cell]
Sm  0.000  0.000  0.174 [4 per cell]
Zn  0.000  0.000  0.367 [4 per cell]
Au  0.000  0.000  0.278 [4 per cell]
Au  0.000  0.000  0.500 [2 per cell]
Au  0.000  0.500  0.080 [8 per cell]

***

Entry 23:
DFT (PBE) results for a relaxed KCdPd crystal.

Properties
- Crystal system: orthorhombic
- Excess energy over the best structure of this formula in the dataset: 0.0 meV/atom
- N(E_F): 0.299 states/eV/atom
- Formation energy: -194 meV/atom
- Theoretical density: 5.09 Mg/m³

a b c (Å): 4.517 12.030 6.191
angles (deg): 90.00 90.00 90.00
Space group Amm2 (No. 38)
Unique sites:
K  0.000  0.000  0.000 [2 per cell]
K  0.500  0.000  0.499 [2 per cell]
Cd  0.000  0.249  0.745 [4 per cell]
Pd  0.500  0.233  0.995 [4 per cell]

***

Entry 24:
DFT (PBE) results for a relaxed BaPrBi4Rh2 crystal.

Properties
- Crystal system: tetragonal
- N(E_F): 0.485 states/eV/atom
- Formation energy: -429 meV/atom
- Theoretical density: 8.78 Mg/m³

a b c (Å): 4.774 4.774 10.952
angles (deg): 90.00 90.00 90.00
Space group P4/mmm (No. 123)
Unique sites:
Ba  0.000  0.000  0.000 [1 per cell]
Pr  0.000  0.000  0.500 [1 per cell]
Bi  0.000  0.500  0.257 [4 per cell]
Rh  0.500  0.500  0.379 [2 per cell]

***

Entry 25:
DFT (PBE) results for a relaxed LiTa2Pt crystal.

Properties
- Crystal system: monoclinic
- N(E_F): 0.677 states/eV/atom
- Formation energy: -117 meV/atom
- Theoretical density: 14.41 Mg/m³

a b c (Å): 5.388 9.091 2.767
angles (deg): 90.00 106.41 90.00
Space group C2/m (No. 12)
Unique sites:
Li  0.000  0.000  0.000 [2 per cell]
Ta  0.250  0.250  0.500 [4 per cell]
Pt  0.000  0.500  0.000 [2 per cell]

***

Entry 26:
DFT (PBE) results for a relaxed DySb2Pd crystal.

Properties
- Crystal system: trigonal
- Energy relative to the elements, uncorrected: -0.154 eV/atom
- N(E_F): 0.780 states/eV/atom
- Theoretical density: 8.12 Mg/m³

a b c (Å): 3.4844 3.4844 29.8987
angles (deg): 90.00 90.00 120.00
Space group R-3m (No. 166, hexagonal axes)
Unique sites:
Dy  0.0000  0.0000  0.0000 [3 per cell]
Sb  0.0000  0.0000  0.1028 [6 per cell]
Pd  0.0000  0.0000  0.5000 [3 per cell]

***

Number 1: total magnetization 0.000 μB per formula unit. Number 2: total magnetization 0.000 μB per formula unit. Number 3: total magnetization 0.000 μB per formula unit. Number 4: total magnetization 0.000 μB per formula unit. Number 5: total magnetization 0.217 μB per formula unit. Number 6: total magnetization 0.000 μB per formula unit. Number 7: total magnetization 0.000 μB per formula unit. Number 8: total magnetization 0.000 μB per formula unit. Number 9: total magnetization 8.396 μB per formula unit. Number 10: total magnetization 0.000 μB per formula unit. Number 11: total magnetization 0.000 μB per formula unit. Number 12: total magnetization 0.000 μB per formula unit. Number 13: total magnetization 0.000 μB per formula unit. Number 14: total magnetization 0.000 μB per formula unit. Number 15: total magnetization 0.000 μB per formula unit. Number 16: total magnetization 0.000 μB per formula unit. Number 17: total magnetization 0.000 μB per formula unit. Number 18: total magnetization 0.000 μB per formula unit. Number 19: total magnetization 0.000 μB per formula unit. Number 20: total magnetization 0.000 μB per formula unit. Number 21: total magnetization 0.000 μB per formula unit. Number 22: total magnetization 0.000 μB per formula unit. Number 23: total magnetization 0.000 μB per formula unit. Number 24: total magnetization 0.000 μB per formula unit. Number 25: total magnetization 0.000 μB per formula unit. Number 26: total magnetization 0.000 μB per formula unit.